The following is a DFT calculation (PBE-GGA) of SrHo3In4 after structural relaxation.

```
data_SrHo3In4
_cell_length_a 10.9126
_cell_length_b 7.3228
_cell_length_c 5.5672
_cell_angle_alpha 90.00
_cell_angle_beta 90.00
_cell_angle_gamma 90.00
_symmetry_space_group_name_H-M 'P m m a'
_symmetry_Int_Tables_number 51
loop_
_symmetry_equiv_pos_as_xyz
'x,y,z'
'-x,-y,-z'
'-x+1/2,-y,z'
'x+1/2,y,-z'
'x+1/2,-y,-z'
'-x+1/2,y,z'
'-x,y,-z'
'x,-y,z'
loop_
_atom_site_label
_atom_site_fract_x
_atom_site_fract_y
_atom_site_fract_z
Sr1 0.0000 0.0000 0.0000
Ho1 0.0000 0.5000 0.0000
Ho2 0.2500 0.0000 0.4367
Ho3 0.2500 0.5000 0.4128
In1 0.0000 0.2646 0.5000
In2 0.2500 0.2654 0.9093
```

Results
- mass density (g/cm3) = 7.8
- N(E_F) (states/eV/atom) = 0.68
- VASP energy (eV/cell) = -59.274
- formation enthalpy at 0 K (eV/atom) = -0.4085
- calculated volume (Å³/cell) = 444.9